Record 1
VASP calculation (PBE-GGA) on an optimized crystal structure of YV2Ni.

Results
- Calculated density: 6.64 g/cm3
- SG: Fm-3m
- ΔE to the lowest computed polymorph: 0.000 eV/atom

Cell lengths 4.452, 4.452, 4.452 Å; angles 60.00, 60.00, 60.00 degrees
Element x y z (fractional)
1 Ni 0.000 0.000 0.000
2 V 0.250 0.250 0.250
3 V 0.750 0.750 0.750
4 Y 0.500 0.500 0.500


Record 2
VASP calculation (PBE-GGA) on an optimized crystal structure of Y2V2Ni15.

Results
- Calculated density: 7.93 g/cm3
- SG: R-3m

Cell lengths 6.292, 6.292, 6.292 Å; angles 82.43, 82.43, 82.43 degrees
Element x y z (fractional)
1 Ni 0.153 0.658 0.658
2 Ni 0.847 0.342 0.342
3 Ni 0.000 0.000 0.500
4 Ni 0.000 0.702 0.298
5 Ni 0.500 0.000 0.000
6 Ni 0.298 0.000 0.702
7 Ni 0.298 0.702 0.000
8 Ni 0.000 0.500 0.000
9 Ni 0.342 0.342 0.847
10 Ni 0.702 0.000 0.298
11 Ni 0.658 0.658 0.153
12 Ni 0.342 0.847 0.342
13 Ni 0.000 0.298 0.702
14 Ni 0.658 0.153 0.658
15 Ni 0.702 0.298 0.000
16 V 0.910 0.910 0.910
17 V 0.090 0.090 0.090
18 Y 0.344 0.344 0.344
19 Y 0.656 0.656 0.656


Record 3
VASP calculation (PBE-GGA) on an optimized crystal structure of YV2Ni.

Results
- Calculated density: 5.29 g/cm3
- SG: I4_1/amd
- ΔE to the lowest computed polymorph: 0.021 eV/atom

Cell lengths 4.154, 4.154, 9.543 Å; angles 77.43, 77.43, 90.00 degrees
Element x y z (fractional)
1 Y 0.000 0.000 0.000
2 Y 0.750 0.250 0.500
3 V 0.375 0.625 0.750
4 V 0.375 0.625 0.250
5 V 0.875 0.625 0.750
6 V 0.375 0.125 0.250
7 Ni 0.500 0.500 0.000
8 Ni 0.250 0.750 0.500


Record 4
VASP calculation (PBE-GGA) on an optimized crystal structure of YVNi3.

Results
- Calculated density: 5.28 g/cm3
- SG: Pm-3m
- ΔE to the lowest computed polymorph: 1.529 eV/atom

Cell lengths 4.633, 4.633, 4.633 Å; angles 90.00, 90.00, 90.00 degrees
Element x y z (fractional)
1 V 0.500 0.500 0.500
2 Ni 0.000 0.500 0.000
3 Ni 0.000 0.000 0.500
4 Ni 0.500 0.000 0.000
5 Y 0.000 0.000 0.000


Record 5
VASP calculation (PBE-GGA) on an optimized crystal structure of V6ZnNi12.

Results
- Calculated density: 7.23 g/cm3
- SG: R-3m

Cell lengths 6.766, 6.766, 6.766 Å; angles 108.47, 108.47, 108.47 degrees
Element x y z (fractional)
1 V 0.688 0.688 0.254
2 V 0.312 0.746 0.312
3 V 0.688 0.254 0.688
4 V 0.312 0.312 0.746
5 V 0.746 0.312 0.312
6 V 0.254 0.688 0.688
7 Ni 0.500 0.111 0.889
8 Ni 0.111 0.500 0.889
9 Ni 0.360 0.360 0.138
10 Ni 0.138 0.360 0.360
11 Ni 0.889 0.111 0.500
12 Ni 0.111 0.889 0.500
13 Ni 0.889 0.500 0.111
14 Ni 0.640 0.862 0.640
15 Ni 0.500 0.889 0.111
16 Ni 0.360 0.138 0.360
17 Ni 0.862 0.640 0.640
18 Ni 0.640 0.640 0.862
19 Zn 0.000 0.000 0.000


Record 6
VASP calculation (PBE-GGA) on an optimized crystal structure of V2Zn2Ni15.

Results
- Calculated density: 8.05 g/cm3
- SG: R-3m

Cell lengths 6.187, 6.187, 6.187 Å; angles 81.47, 81.47, 81.47 degrees
Element x y z (fractional)
1 Ni 0.661 0.661 0.173
2 Ni 0.500 0.000 0.000
3 Ni 0.332 0.000 0.668
4 Ni 0.173 0.661 0.661
5 Ni 0.827 0.339 0.339
6 Ni 0.339 0.339 0.827
7 Ni 0.661 0.173 0.661
8 Ni 0.339 0.827 0.339
9 Ni 0.000 0.332 0.668
10 Ni 0.000 0.668 0.332
11 Ni 0.000 0.500 0.000
12 Ni 0.668 0.000 0.332
13 Ni 0.332 0.668 0.000
14 Ni 0.000 0.000 0.500
15 Ni 0.668 0.332 0.000
16 V 0.618 0.618 0.618
17 V 0.382 0.382 0.382
18 Zn 0.103 0.103 0.103
19 Zn 0.897 0.897 0.897


Calculated formation energy, respectively: 0.526, -0.247, 0.547, 1.404, 0.148, 0.067 eV/atom.
Magnetic moment, respectively: 0.000, 0.096, 0.000, 0.707, 0.000, 0.066 μB/atom.